Entry 1:
## Ba5PrCd6 (PBE)

Data for Ba5PrCd6 after structural relaxation.

## Properties
Mass density: 5.7 Mg/m³
Fermi-level density of states: 7.95 states/eV per cell
ΔH_f (0 K): -3.623 eV per formula unit

Cell: 5.9190 8.3433 10.2677 Å, 66.03 73.25 90.00°
With the nearest neighbours (Å) after each atom.
Fractional coordinates of all 12 atoms:
Ba1 0.6752 0.1754 0.6491  8 Cd 3.54-3.74
Ba2 0.3377 0.3375 0.3249  8 Cd 3.72-3.76, 4 Ba 4.13-4.14
Ba3 0.6623 0.6625 0.6751  8 Cd 3.72-3.76, 4 Ba 4.13-4.14
Cd1 0.5000 0.2122 0.0000  2 Pr 3.45, 1 Cd 3.54, 6 Ba 3.59-3.81
Cd2 0.1567 0.3866 0.6862  1 Pr 3.39, 7 Ba 3.54-3.74
Cd3 0.8434 0.0729 0.3138  1 Pr 3.39, 7 Ba 3.54-3.74
Ba4 0.3248 0.8246 0.3509  8 Cd 3.54-3.74
Pr1 0.0000 0.0000 0.0000  8 Cd 3.39-3.45
Cd4 0.5000 0.7878 0.0000  2 Pr 3.45, 1 Cd 3.54, 6 Ba 3.59-3.81
Ba5 0.0000 0.5000 0.0000  8 Cd 3.59-3.81
Cd5 0.1566 0.9271 0.6862  1 Pr 3.39, 7 Ba 3.54-3.74
Cd6 0.8433 0.6134 0.3138  1 Pr 3.39, 7 Ba 3.54-3.74

=====

Entry 2:
## BaPrCd (PBE)

Data for BaPrCd after structural relaxation.

## Properties
Mass density: 5.6 Mg/m³
Fermi-level density of states: 3.90 states/eV per cell
Energy above the most stable polymorph in this dataset: 142 meV per atom
ΔH_f (0 K): 0.010 eV per formula unit

Cell: 4.2477 5.6051 5.6051 Å, 120.00 90.00 90.00°
With the nearest neighbours (Å) after each atom.
Fractional coordinates of all 3 atoms:
Ba1 0.6666 0.6667 0.3333  6 Cd 3.87, 6 Pr 3.87, 2 Ba 4.25
Cd1 0.1671 0.3333 0.6667  3 Pr 3.24
Pr1 0.1662 0.0000 0.0000  3 Cd 3.24

=====

Entry 3:
## Ba2PrCd6 (PBE)

Data for Ba2PrCd6 after structural relaxation.

## Properties
Mass density: 6.7 Mg/m³
Fermi-level density of states: 7.50 states/eV per cell
ΔH_f (0 K): -2.661 eV per formula unit

Cell: 3.7633 9.1143 9.1143 Å, 59.99 89.99 89.99°
With the nearest neighbours (Å) after each atom.
Fractional coordinates of all 9 atoms:
Cd1 0.4996 0.6735 0.0000  3 Cd 2.98-3.16
Cd2 0.5004 0.0000 0.3265  3 Cd 2.98-3.16
Pr1 0.0000 0.0000 0.0000  12 Cd 3.52, 2 Pr 3.76
Cd3 0.5000 0.3265 0.6735  3 Cd 2.98-3.16
Ba1 0.0000 0.3333 0.3333  12 Cd 3.60, 2 Ba 3.76
Cd4 0.5004 0.3265 0.0000  3 Cd 2.98-3.16
Cd5 0.5000 0.6735 0.3265  3 Cd 2.98-3.16
Ba2 0.0000 0.6667 0.6667  12 Cd 3.60, 2 Ba 3.76
Cd6 0.4996 0.0000 0.6735  3 Cd 2.98-3.16

=====

Which formula does entry 3 have?
Ba2PrCd6